Density functional theory data (GGA-PBE) for a geometry-optimized TaW2Br structure.

Properties
VASP energy: -36.6 eV for the cell shown
formation energy from raw total energies: 0.704 eV/atom
size of the total moment: 0.000 μB/f.u.

Unit cell a=2.892 b=4.464 c=5.536 alpha=90.00 beta=100.80 gamma=90.00
Positions (direct):
Ta1 0.000 0.000 0.000
W1 0.437 0.000 0.474
W2 0.699 0.500 0.247
Br1 0.489 0.500 0.776